Record 1
# Ca2Ho2Cd15 (PBE-GGA, relaxed)
# crystal system: trigonal
# final energy: -88.529 eV for the cell shown
# spin magnetization: 0.00 μB per cell
# density of states at the Fermi level: 7.420 states/eV/f.u.
data_Ca2Ho2Cd15
_symmetry_space_group_name_H-M 'R -3 m'
_symmetry_Int_Tables_number 166
_symmetry_space_group_name_Hall '-R 3 2"'
_cell_length_a 10.0218
_cell_length_b 10.0218
_cell_length_c 16.5077
_cell_angle_alpha 90.00
_cell_angle_beta 90.00
_cell_angle_gamma 120.00
loop_
_atom_site_label
_atom_site_fract_x
_atom_site_fract_y
_atom_site_fract_z
Ca1 0.0000 0.0000 0.1746
Ho1 0.0000 0.0000 0.4044
Cd1 0.0000 0.2965 0.5000
Cd2 0.0000 0.5000 0.0000
Cd3 0.0089 0.5044 0.6359



Record 2
# Ca2HoCd5 (PBE-GGA, relaxed)
# crystal system: tetragonal
# final energy: -31.030 eV for the cell shown
# spin magnetization: 0.00 μB per cell
# density of states at the Fermi level: 4.867 states/eV/f.u.
data_Ca2HoCd5
_symmetry_space_group_name_H-M 'I 4/m m m'
_symmetry_Int_Tables_number 139
_symmetry_space_group_name_Hall '-I 4 2'
_cell_length_a 5.257
_cell_length_b 5.257
_cell_length_c 14.854
_cell_angle_alpha 90.00
_cell_angle_beta 90.00
_cell_angle_gamma 90.00
loop_
_atom_site_label
_atom_site_fract_x
_atom_site_fract_y
_atom_site_fract_z
Ca1 0.000 0.000 0.243
Ho1 0.000 0.000 0.500
Cd1 0.000 0.000 0.000
Cd2 0.000 0.500 0.117